# 1
The following is a DFT calculation (GGA-PBE) of NdPa2Ru4 after structural relaxation.

Its energy of formation is -0.35 eV per atom. For the total magnetic moment, the calculation gives 0.00 μB/f.u. Its crystal system is triclinic.

a = 7.105 Å, b = 6.849 Å, c = 7.871 Å
α = 126.90°, β = 98.92°, γ = 93.34°
Fractional coordinates of all 14 atoms:
1 Nd 0.356 0.547 0.420
2 Nd 0.109 0.883 0.904
3 Pa 0.511 0.439 0.810
4 Pa 0.563 0.008 0.303
5 Pa 0.831 0.490 0.242
6 Pa 0.988 0.219 0.700
7 Ru 0.972 0.259 0.371
8 Ru 0.240 0.553 0.048
9 Ru 0.730 0.543 0.646
10 Ru 0.722 0.970 0.665
11 Ru 0.263 0.016 0.413
12 Ru 0.409 0.135 0.859
13 Ru 0.663 0.965 0.999
14 Ru 0.891 0.722 0.119

***

# 2
The following is a DFT calculation (GGA-PBE) of Nd5PaRu4 after structural relaxation.

Its energy of formation is -0.28 eV per atom. For the total magnetic moment, the calculation gives 0.00 μB/f.u. Its crystal system is monoclinic.

a = 4.443 Å, b = 7.255 Å, c = 8.836 Å
α = 107.89°, β = 104.56°, γ = 90.00°
Fractional coordinates of all 10 atoms:
1 Nd 0.167 0.041 0.334
2 Nd 0.171 0.547 0.343
3 Nd 0.829 0.453 0.657
4 Nd 0.500 0.500 0.000
5 Nd 0.833 0.959 0.666
6 Pa 0.500 0.000 0.000
7 Ru 0.643 0.275 0.285
8 Ru 0.990 0.787 0.980
9 Ru 0.357 0.725 0.715
10 Ru 0.010 0.213 0.020

***

# 3
The following is a DFT calculation (GGA-PBE) of NdPaRu4 after structural relaxation.

Its energy of formation is -0.21 eV per atom. For the total magnetic moment, the calculation gives 0.00 μB/f.u. Its crystal system is cubic.

a = 5.369 Å, b = 5.369 Å, c = 5.369 Å
α = 60.00°, β = 60.00°, γ = 60.00°
Fractional coordinates of all 6 atoms:
1 Ru 0.625 0.625 0.125
2 Ru 0.625 0.125 0.625
3 Ru 0.625 0.625 0.625
4 Ru 0.125 0.625 0.625
5 Pa 0.000 0.000 0.000
6 Nd 0.250 0.250 0.250

***

# 4
The following is a DFT calculation (GGA-PBE) of Nd2Pa4Ru9 after structural relaxation.

Its energy of formation is -0.31 eV per atom. For the total magnetic moment, the calculation gives 0.00 μB/f.u. Its crystal system is trigonal.

a = 4.484 Å, b = 4.484 Å, c = 17.609 Å
α = 90.00°, β = 90.00°, γ = 120.00°
Fractional coordinates of all 15 atoms:
1 Nd 0.333 0.667 0.755
2 Nd 0.667 0.333 0.245
3 Pa 0.333 0.667 0.404
4 Pa 0.667 0.333 0.596
5 Pa 0.667 0.333 0.901
6 Pa 0.333 0.667 0.099
7 Ru 0.000 0.000 0.343
8 Ru 0.000 0.000 0.657
9 Ru 0.000 0.000 0.849
10 Ru 0.000 0.000 0.151
11 Ru 0.333 0.667 0.579
12 Ru 0.667 0.333 0.421
13 Ru 0.667 0.333 0.068
14 Ru 0.333 0.667 0.932
15 Ru 0.000 0.000 0.500

***

Please write out number 2 again, unchanged.
The following is a DFT calculation (GGA-PBE) of Nd5PaRu4 after structural relaxation.

Its energy of formation is -0.28 eV per atom. For the total magnetic moment, the calculation gives 0.00 μB/f.u. Its crystal system is monoclinic.

a = 4.443 Å, b = 7.255 Å, c = 8.836 Å
α = 107.89°, β = 104.56°, γ = 90.00°
Fractional coordinates of all 10 atoms:
1 Nd 0.167 0.041 0.334
2 Nd 0.171 0.547 0.343
3 Nd 0.829 0.453 0.657
4 Nd 0.500 0.500 0.000
5 Nd 0.833 0.959 0.666
6 Pa 0.500 0.000 0.000
7 Ru 0.643 0.275 0.285
8 Ru 0.990 0.787 0.980
9 Ru 0.357 0.725 0.715
10 Ru 0.010 0.213 0.020